Er5Tl2HgIr2: relaxed, PBE.

Output
* size of the total moment: 0.00 μB per formula unit
* calculated formation energy: -0.55 eV/atom
* N(E_F): 6.28 states/eV/f.u.

Cell: 11.9423 11.9423 3.5945 Å, 90.00 90.00 90.00°
Space group P4/mbm (No. 127)
Unique sites:
Er: 0.0000 0.5000 0.0000
Er: 0.0773 0.2056 0.0000
Tl: 0.1724 0.6724 0.5000
Hg: 0.0000 0.0000 0.5000
Ir: 0.1308 0.3692 0.5000

SrInGe2: relaxed, PBE.

Output
* size of the total moment: 0.00 μB per formula unit
* calculated formation energy: -0.21 eV/atom
* N(E_F): 1.64 states/eV/f.u.

Cell: 4.7561 4.7561 4.3322 Å, 90.00 90.00 90.00°
Space group P4/mmm (No. 123)
Unique sites:
Sr: 0.0000 0.0000 0.0000
In: 0.5000 0.5000 0.0000
Ge: 0.0000 0.5000 0.5000

CsC2: relaxed, PBE.

Output
* size of the total moment: 5.00 μB per formula unit
* calculated formation energy: 3.91 eV/atom
* N(E_F): 6.28 states/eV/f.u.
* offset from the most stable computed form: 2974.3 meV/atom

Cell: 7.7367 7.7367 7.7367 Å, 90.00 90.00 90.00°
Space group Fm-3m (No. 225)
Unique sites:
Cs: 0.0000 0.0000 0.0000
C: 0.2500 0.2500 0.2500

CaPmPuN3: relaxed, PBE.

Output
* size of the total moment: 1.31 μB per formula unit
* N(E_F): 3.37 states/eV/f.u.
* uncorrected formation energy: -0.757 eV per atom

Cell: 7.6391 3.5924 8.4230 Å, 90.00 97.97 90.00°
Space group P2_1/m (No. 11)
Unique sites:
Ca: 0.1105 0.2500 0.1601
Pm: 0.3207 0.7500 0.8710
Pu: 0.4396 0.7500 0.4037
N: 0.1299 0.2500 0.8783
N: 0.2895 0.2500 0.4211
N: 0.4092 0.7500 0.1645

FePb3N: relaxed, PBE.

Output
* size of the total moment: 1.00 μB per formula unit
* N(E_F): 3.82 states/eV/f.u.
* uncorrected formation energy: 1.095 eV per atom
* offset from the most stable computed form: 124.9 meV/atom

Cell: 5.0081 5.0081 5.0081 Å, 90.00 90.00 90.00°
Space group Pm-3m (No. 221)
Unique sites:
Fe: 0.0000 0.0000 0.0000
Pb: 0.0000 0.0000 0.5000
N: 0.5000 0.5000 0.5000

Rb2BaAsO4: relaxed, PBE.

Output
* size of the total moment: 0.00 μB per formula unit
* N(E_F): 1.56 states/eV/f.u.
* uncorrected formation energy: -1.639 eV per atom

Cell: 6.1570 6.1570 10.2550 Å, 90.00 90.00 90.00°
Space group I-4 (No. 82)
Unique sites:
Rb: 0.0000 0.0000 0.0000
Rb: 0.0000 0.5000 0.2500
Ba: 0.0000 0.0000 0.5000
As: 0.0000 0.5000 0.7500
O: 0.1459 0.6927 0.6520

Please write out number 1 again, unchanged.
Er5Tl2HgIr2: relaxed, PBE.

Output
* size of the total moment: 0.00 μB per formula unit
* calculated formation energy: -0.55 eV/atom
* N(E_F): 6.28 states/eV/f.u.

Cell: 11.9423 11.9423 3.5945 Å, 90.00 90.00 90.00°
Space group P4/mbm (No. 127)
Unique sites:
Er: 0.0000 0.5000 0.0000
Er: 0.0773 0.2056 0.0000
Tl: 0.1724 0.6724 0.5000
Hg: 0.0000 0.0000 0.5000
Ir: 0.1308 0.3692 0.5000

Which value of size of the total moment does entry 6 give? 0.00 μB per formula unit

Copy entry 4 word for word.
CaPmPuN3: relaxed, PBE.

Output
* size of the total moment: 1.31 μB per formula unit
* N(E_F): 3.37 states/eV/f.u.
* uncorrected formation energy: -0.757 eV per atom

Cell: 7.6391 3.5924 8.4230 Å, 90.00 97.97 90.00°
Space group P2_1/m (No. 11)
Unique sites:
Ca: 0.1105 0.2500 0.1601
Pm: 0.3207 0.7500 0.8710
Pu: 0.4396 0.7500 0.4037
N: 0.1299 0.2500 0.8783
N: 0.2895 0.2500 0.4211
N: 0.4092 0.7500 0.1645